# 1
A relaxed LaCu5S4 crystal. Source: Alexandria via LeMat-Bulk, functional GGA-PBE.

Results
- M_tot: 0.000 Bohr magnetons per cell
- Formation energy (no corrections): -54 kJ per mole of atoms
- Energy: -0.1746 Ha/atom

Structure (CIF):
```
data_LaCu5S4
_cell_length_a 3.920
_cell_length_b 7.045
_cell_length_c 12.636
_cell_angle_alpha 90.00
_cell_angle_beta 90.00
_cell_angle_gamma 90.00
_space_group_name_H-M_alt 'I m m m'
_space_group_IT_number 71
_space_group_name_Hall '-I 2 2'
loop_
_atom_site_label
_atom_site_type_symbol
_atom_site_fract_x
_atom_site_fract_y
_atom_site_fract_z
La1 La 0.000 0.000 0.000
Cu1 Cu 0.000 0.299 0.318
Cu2 Cu 0.000 0.500 0.000
S1 S 0.000 0.000 0.230
S2 S 0.000 0.214 0.500
```


# 2
A relaxed KCoRu3 crystal. Source: Alexandria via LeMat-Bulk, functional GGA-PBE.

Results
- ΔE to the lowest computed polymorph: 0 meV/atom
- M_tot: 0.002 Bohr magnetons per cell
- Energy: -0.2079 Ha/atom

Structure (CIF):
```
data_KCoRu3
_cell_length_a 4.559
_cell_length_b 4.559
_cell_length_c 4.559
_cell_angle_alpha 90.00
_cell_angle_beta 90.00
_cell_angle_gamma 90.00
_space_group_name_H-M_alt 'P m -3 m'
_space_group_IT_number 221
_space_group_name_Hall '-P 4 2 3'
loop_
_atom_site_label
_atom_site_type_symbol
_atom_site_fract_x
_atom_site_fract_y
_atom_site_fract_z
K1 K 0.000 0.000 0.000
Co1 Co 0.500 0.500 0.500
Ru1 Ru 0.000 0.500 0.500
```


# 3
A relaxed SnPb3 crystal. Source: Alexandria via LeMat-Bulk, functional GGA-PBE.

Results
- ΔE to the lowest computed polymorph: 20 meV/atom
- M_tot: 0.000 Bohr magnetons per cell
- Energy: -0.1377 Ha/atom

Structure (CIF):
```
data_SnPb3
_cell_length_a 3.472
_cell_length_b 11.548
_cell_length_c 6.097
_cell_angle_alpha 90.00
_cell_angle_beta 90.00
_cell_angle_gamma 90.00
_space_group_name_H-M_alt 'I m m 2'
_space_group_IT_number 44
loop_
_space_group_symop_operation_xyz
'x,y,z'
'-x,-y,z'
'-x,y,z'
'x,-y,z'
'x+1/2,y+1/2,z+1/2'
'-x+1/2,-y+1/2,z+1/2'
'-x+1/2,y+1/2,z+1/2'
'x+1/2,-y+1/2,z+1/2'
loop_
_atom_site_label
_atom_site_type_symbol
_atom_site_fract_x
_atom_site_fract_y
_atom_site_fract_z
Sn1 Sn 0.000 0.000 0.000
Pb1 Pb 0.000 0.257 0.638
Pb2 Pb 0.000 0.500 0.008
```


# 4
A relaxed RbBa crystal. Source: Alexandria via LeMat-Bulk, functional GGA-PBE.

Results
- M_tot: 0.001 Bohr magnetons per cell
- Energy: -0.0241 Ha/atom

Structure (CIF):
```
data_RbBa
_cell_length_a 13.134
_cell_length_b 13.134
_cell_length_c 13.134
_cell_angle_alpha 90.00
_cell_angle_beta 90.00
_cell_angle_gamma 90.00
_space_group_name_H-M_alt 'P m -3 n'
_space_group_IT_number 223
_space_group_name_Hall '-P 4n 2 3'
loop_
_atom_site_label
_atom_site_type_symbol
_atom_site_fract_x
_atom_site_fract_y
_atom_site_fract_z
Rb1 Rb 0.000 0.250 0.500
Ba1 Ba 0.000 0.500 0.250
```


# 5
A relaxed Cs3BeSb crystal. Source: Alexandria via LeMat-Bulk, functional GGA-PBE.

Results
- M_tot: 0.000 Bohr magnetons per cell
- Formation energy (no corrections): 48 kJ per mole of atoms
- Energy: -0.0584 Ha/atom

Structure (CIF):
```
data_Cs3BeSb
_cell_length_a 7.499
_cell_length_b 7.499
_cell_length_c 7.499
_cell_angle_alpha 90.00
_cell_angle_beta 90.00
_cell_angle_gamma 90.00
_space_group_name_H-M_alt 'P m -3 m'
_space_group_IT_number 221
_space_group_name_Hall '-P 4 2 3'
loop_
_atom_site_label
_atom_site_type_symbol
_atom_site_fract_x
_atom_site_fract_y
_atom_site_fract_z
Cs1 Cs 0.000 0.000 0.500
Be1 Be 0.500 0.500 0.500
Sb1 Sb 0.000 0.000 0.000
```


# 6
A relaxed TaP3Ru crystal. Source: Alexandria via LeMat-Bulk, functional GGA-PBE.

Results
- ΔE to the lowest computed polymorph: 0 meV/atom
- M_tot: 0.000 Bohr magnetons per cell
- Energy: -0.2385 Ha/atom

Structure (CIF):
```
data_TaP3Ru
_cell_length_a 4.516
_cell_length_b 4.516
_cell_length_c 4.516
_cell_angle_alpha 90.00
_cell_angle_beta 90.00
_cell_angle_gamma 90.00
_space_group_name_H-M_alt 'P m -3 m'
_space_group_IT_number 221
_space_group_name_Hall '-P 4 2 3'
loop_
_atom_site_label
_atom_site_type_symbol
_atom_site_fract_x
_atom_site_fract_y
_atom_site_fract_z
Ta1 Ta 0.000 0.000 0.000
P1 P 0.000 0.500 0.500
Ru1 Ru 0.500 0.500 0.500
```


# 7
A relaxed Tb3PbO7 crystal. Source: Alexandria via LeMat-Bulk, functional GGA-PBE.

Results
- M_tot: 4.133 Bohr magnetons per cell
- Formation energy (no corrections): -252 kJ per mole of atoms
- Energy: -0.2707 Ha/atom

Structure (CIF):
```
data_Tb3PbO7
_cell_length_a 7.548
_cell_length_b 10.985
_cell_length_c 7.640
_cell_angle_alpha 90.00
_cell_angle_beta 90.00
_cell_angle_gamma 90.00
_space_group_name_H-M_alt 'C m c m'
_space_group_IT_number 63
_space_group_name_Hall '-C 2c 2'
loop_
_atom_site_label
_atom_site_type_symbol
_atom_site_fract_x
_atom_site_fract_y
_atom_site_fract_z
Tb1 Tb 0.000 0.000 0.000
Tb2 Tb 0.239 0.269 0.250
Pb1 Pb 0.000 0.500 0.000
O1 O 0.000 0.130 0.250
O2 O 0.000 0.132 0.750
O3 O 0.000 0.402 0.250
O4 O 0.222 0.374 0.534
```


# 8
A relaxed Rb3ScCr2S6 crystal. Source: Alexandria via LeMat-Bulk, functional GGA-PBE.

Results
- M_tot: 12.000 Bohr magnetons per cell
- Formation energy (no corrections): -110 kJ per mole of atoms
- Energy: -0.2049 Ha/atom

Structure (CIF):
```
data_Rb3ScCr2S6
_cell_length_a 6.490
_cell_length_b 11.228
_cell_length_c 7.794
_cell_angle_alpha 90.00
_cell_angle_beta 106.12
_cell_angle_gamma 90.00
_space_group_name_H-M_alt 'C 1 2/m 1'
_space_group_IT_number 12
loop_
_space_group_symop_operation_xyz
'x,y,z'
'-x,-y,-z'
'-x,y,-z'
'x,-y,z'
'x+1/2,y+1/2,z'
'-x+1/2,-y+1/2,-z'
'-x+1/2,y+1/2,-z'
'x+1/2,-y+1/2,z'
loop_
_atom_site_label
_atom_site_type_symbol
_atom_site_fract_x
_atom_site_fract_y
_atom_site_fract_z
Rb1 Rb 0.000 0.000 0.000
Rb2 Rb 0.000 0.336 0.000
Sc1 Sc 0.000 0.500 0.500
Cr1 Cr 0.000 0.167 0.500
S1 S 0.209 0.000 0.673
S2 S 0.232 0.326 0.674
```


# 9
A relaxed Ce2Hg3Rh2 crystal. Source: Alexandria via LeMat-Bulk, functional GGA-PBE.

Results
- M_tot: 1.091 Bohr magnetons per cell
- Energy: -0.1586 Ha/atom

Structure (CIF):
```
data_Ce2Hg3Rh2
_cell_length_a 3.817
_cell_length_b 3.816
_cell_length_c 12.272
_cell_angle_alpha 90.00
_cell_angle_beta 99.02
_cell_angle_gamma 90.00
_space_group_name_H-M_alt 'P 1 2/m 1'
_space_group_IT_number 10
loop_
_space_group_symop_operation_xyz
'x,y,z'
'-x,-y,-z'
'-x,y,-z'
'x,-y,z'
loop_
_atom_site_label
_atom_site_type_symbol
_atom_site_fract_x
_atom_site_fract_y
_atom_site_fract_z
Ce1 Ce 0.088 0.000 0.175
Hg1 Hg 0.205 0.500 0.409
Hg2 Hg 0.500 0.500 0.000
Rh1 Rh 0.382 0.500 0.766
```


# 10
A relaxed TmH8Rh4 crystal. Source: Alexandria via LeMat-Bulk, functional GGA-PBE.

Results
- M_tot: 0.000 Bohr magnetons per cell
- Energy: -0.1768 Ha/atom

Structure (CIF):
```
data_TmH8Rh4
_cell_length_a 5.573
_cell_length_b 5.647
_cell_length_c 5.786
_cell_angle_alpha 118.72
_cell_angle_beta 90.22
_cell_angle_gamma 119.42
_space_group_name_H-M_alt 'P -1'
_space_group_IT_number 2
loop_
_space_group_symop_operation_xyz
'x,y,z'
'-x,-y,-z'
loop_
_atom_site_label
_atom_site_type_symbol
_atom_site_fract_x
_atom_site_fract_y
_atom_site_fract_z
Tm1 Tm 0.000 0.000 0.000
H1 H 0.202 0.900 0.631
H2 H 0.221 0.444 0.774
H3 H 0.290 0.578 0.233
H4 H 0.303 0.104 0.372
Rh1 Rh 0.000 0.000 0.500
Rh2 Rh 0.000 0.500 0.000
Rh3 Rh 0.500 0.000 0.500
Rh4 Rh 0.500 0.500 0.000
```


# 11
A relaxed NaSc2Pd2 crystal. Source: Alexandria via LeMat-Bulk, functional GGA-PBE.

Results
- ΔE to the lowest computed polymorph: 0 meV/atom
- M_tot: 0.000 Bohr magnetons per cell
- Energy: -0.2002 Ha/atom

Structure (CIF):
```
data_NaSc2Pd2
_cell_length_a 7.900
_cell_length_b 7.900
_cell_length_c 3.236
_cell_angle_alpha 90.00
_cell_angle_beta 90.00
_cell_angle_gamma 90.00
_space_group_name_H-M_alt 'P 4/m b m'
_space_group_IT_number 127
_space_group_name_Hall '-P 4 2ab'
loop_
_atom_site_label
_atom_site_type_symbol
_atom_site_fract_x
_atom_site_fract_y
_atom_site_fract_z
Na1 Na 0.000 0.000 0.000
Sc1 Sc 0.150 0.350 0.500
Pd1 Pd 0.139 0.639 0.000
```


# 12
A relaxed SbAuCl crystal. Source: Alexandria via LeMat-Bulk, functional GGA-PBE.

Results
- ΔE to the lowest computed polymorph: 0 meV/atom
- M_tot: 0.000 Bohr magnetons per cell
- Formation energy (no corrections): -25 kJ per mole of atoms
- Energy: -0.1228 Ha/atom

Structure (CIF):
```
data_SbAuCl
_cell_length_a 3.854
_cell_length_b 4.106
_cell_length_c 11.667
_cell_angle_alpha 90.00
_cell_angle_beta 90.00
_cell_angle_gamma 90.00
_space_group_name_H-M_alt 'I m m 2'
_space_group_IT_number 44
loop_
_space_group_symop_operation_xyz
'x,y,z'
'-x,-y,z'
'-x,y,z'
'x,-y,z'
'x+1/2,y+1/2,z+1/2'
'-x+1/2,-y+1/2,z+1/2'
'-x+1/2,y+1/2,z+1/2'
'x+1/2,-y+1/2,z+1/2'
loop_
_atom_site_label
_atom_site_type_symbol
_atom_site_fract_x
_atom_site_fract_y
_atom_site_fract_z
Sb1 Sb 0.000 0.000 0.000
Au1 Au 0.000 0.000 0.483
Cl1 Cl 0.000 0.000 0.206
```